Entry from Alexandria: crystalline ScMo2Cl at its relaxed geometry (PBE).

abc: 3.1906 3.1906 8.0349
angles: 90.00 90.00 90.00
Space group P4mm (No. 99)
Unique sites:
Sc 0.0000 0.0000 0.0000 x1
Mo 0.0000 0.0000 0.6128 x1
Mo 0.5000 0.5000 0.7761 x1
Cl 0.5000 0.5000 0.1933 x1

Calculated values
E_form (uncorrected)   -0.18 eV per atom
Energy above the most stable polymorph in this dataset   46 meV/atom